Entry 1:
FeCuIr, relaxed, DFT PBE-GGA; crystal system = tetragonal; space group = I4mm, No. 107; total magnetization = 2.6 μB per formula unit; ΔE to the lowest computed polymorph = 0.15 eV per formula unit; formation energy from the elements = 0.102 eV/atom
1.0
-1.344 1.344 5.366
1.344 -1.344 5.366
1.344 1.344 -5.366
Fe Cu Ir
1 1 1
Cartesian
0.000 0.000 0.000
0.000 0.000 3.621
0.000 0.000 7.100



Entry 2:
FeCuIr, relaxed, DFT PBE-GGA; crystal system = orthorhombic; space group = Cmcm, No. 63; total magnetization = 3.0 μB per formula unit; ΔE to the lowest computed polymorph = 0.10 eV per formula unit; formation energy from the elements = 0.085 eV/atom
1.0
1.810 -5.695 0.000
1.810 5.695 0.000
0.000 0.000 3.772
Fe Cu Ir
2 2 2
Cartesian
1.810 4.693 2.829
1.810 -4.693 0.943
1.810 2.855 0.943
1.810 -2.855 2.829
1.810 0.932 2.829
1.810 -0.932 0.943



Entry 3:
Fe2CuIr2, relaxed, DFT PBE-GGA; crystal system = tetragonal; space group = P4/mbm, No. 127; total magnetization = 0.0 μB per formula unit; ΔE to the lowest computed polymorph = 0.35 eV per formula unit; formation energy from the elements = 0.311 eV/atom
1.0
7.150 0.000 0.000
0.000 7.150 0.000
0.000 0.000 2.635
Fe Cu Ir
4 2 4
Cartesian
1.194 2.381 0.000
2.381 5.956 0.000
4.769 1.194 0.000
5.956 4.769 0.000
0.000 0.000 1.317
3.575 3.575 1.317
0.934 4.509 1.317
2.641 0.934 1.317
4.509 6.216 1.317
6.216 2.641 1.317



Entry 4:
FeCuIr2, relaxed, DFT PBE-GGA; crystal system = orthorhombic; space group = Cmmm, No. 65; total magnetization = 3.8 μB per formula unit; ΔE to the lowest computed polymorph = 0.50 eV per formula unit; formation energy from the elements = 0.133 eV/atom
1.0
1.383 -2.281 0.000
1.383 2.281 0.000
0.000 0.000 8.750
Fe Cu Ir
1 1 2
Cartesian
0.000 0.000 0.000
0.000 0.000 4.375
1.383 0.000 2.144
1.383 0.000 6.606



Entry 5:
FeCuIr, relaxed, DFT PBE-GGA; crystal system = cubic; space group = F-43m, No. 216; total magnetization = 0.0 μB per formula unit; ΔE to the lowest computed polymorph = 1.29 eV per formula unit; formation energy from the elements = 0.485 eV/atom
1.0
0.000 2.766 2.766
2.766 0.000 2.766
2.766 2.766 0.000
Fe Cu Ir
1 1 1
Cartesian
0.000 0.000 0.000
4.149 4.149 4.149
1.383 1.383 1.383



Entry 6:
Fe2CuIr, relaxed, DFT PBE-GGA; crystal system = trigonal; space group = R-3m, No. 166; total magnetization = 5.0 μB per formula unit; formation energy from the elements = 0.122 eV/atom
1.0
1.321 0.763 8.507
-1.321 0.763 8.507
0.000 -1.525 8.507
Fe Cu Ir
2 1 1
Cartesian
0.000 0.000 6.346
0.000 0.000 19.176
0.000 0.000 12.761
0.000 0.000 0.000



Entry 7:
Fe2CuIr, relaxed, DFT PBE-GGA; crystal system = orthorhombic; space group = Cmmm, No. 65; total magnetization = 5.7 μB per formula unit; formation energy from the elements = 0.011 eV/atom
1.0
2.608 -3.675 0.000
2.608 3.675 0.000
0.000 0.000 2.655
Fe Cu Ir
2 1 1
Cartesian
1.304 1.838 0.000
1.304 -1.838 0.000
0.000 0.000 1.328
2.608 0.000 1.328



Entry 8:
FeCuIr2, relaxed, DFT PBE-GGA; crystal system = tetragonal; space group = P4mm, No. 99; total magnetization = 2.6 μB per formula unit; ΔE to the lowest computed polymorph = 0.29 eV per formula unit; formation energy from the elements = 0.081 eV/atom
1.0
2.711 0.000 0.000
0.000 2.711 0.000
0.000 0.000 7.310
Fe Cu Ir
1 1 2
Cartesian
0.000 0.000 0.000
1.356 1.356 5.594
0.000 0.000 3.732
1.356 1.356 1.837



Entry 9:
Fe2CuIr, relaxed, DFT PBE-GGA; crystal system = tetragonal; space group = P4mm, No. 99; total magnetization = 4.9 μB per formula unit; formation energy from the elements = 0.109 eV/atom
1.0
2.640 0.000 0.000
0.000 2.640 0.000
0.000 0.000 7.287
Fe Cu Ir
2 1 1
Cartesian
0.000 0.000 0.000
1.320 1.320 1.799
1.320 1.320 5.500
0.000 0.000 3.560



Entry 10:
FeCu2Ir2, relaxed, DFT PBE-GGA; crystal system = tetragonal; space group = P4/mbm, No. 127; total magnetization = 4.0 μB per formula unit; formation energy from the elements = 0.417 eV/atom
1.0
7.018 0.000 0.000
0.000 7.018 0.000
0.000 0.000 2.806
Fe Cu Ir
2 4 4
Cartesian
0.000 0.000 0.000
3.509 3.509 0.000
0.880 2.630 0.000
2.630 6.139 0.000
4.389 0.880 0.000
6.139 4.389 0.000
1.214 4.723 1.403
2.296 1.214 1.403
4.723 5.805 1.403
5.805 2.296 1.403



Entry 11:
Fe4CuIr15, relaxed, DFT PBE-GGA; crystal system = tetragonal; space group = P4/mmm, No. 123; total magnetization = 12.2 μB per formula unit; formation energy from the elements = 0.008 eV/atom
1.0
3.830 0.000 0.000
0.000 3.830 0.000
0.000 0.000 19.128
Fe Cu Ir
4 1 15
Cartesian
0.000 0.000 1.921
0.000 0.000 5.783
0.000 0.000 13.345
0.000 0.000 17.206
0.000 0.000 9.564
0.000 1.915 0.000
0.000 1.915 3.818
0.000 1.915 7.614
0.000 1.915 11.513
0.000 1.915 15.310
1.915 0.000 0.000
1.915 0.000 3.818
1.915 0.000 7.614
1.915 0.000 11.513
1.915 0.000 15.310
1.915 1.915 1.911
1.915 1.915 5.725
1.915 1.915 9.564
1.915 1.915 13.402
1.915 1.915 17.217



Entry 12:
Fe2CuIr, relaxed, DFT PBE-GGA; crystal system = tetragonal; space group = P4/mmm, No. 123; total magnetization = 5.1 μB per formula unit; formation energy from the elements = 0.074 eV/atom
1.0
2.651 0.000 0.000
0.000 2.651 0.000
0.000 0.000 7.206
Fe Cu Ir
2 1 1
Cartesian
0.000 0.000 1.761
0.000 0.000 5.444
1.326 1.326 0.000
1.326 1.326 3.603



| no. | raw total energy (eV/atom) |
| --- | --- |
| 1 | -7.04 |
| 2 | -7.05 |
| 3 | -7.44 |
| 4 | -7.44 |
| 5 | -6.66 |
| 6 | -7.35 |
| 7 | -7.46 |
| 8 | -7.49 |
| 9 | -7.36 |
| 10 | -6.46 |
| 11 | -8.53 |
| 12 | -7.40 |